A:
Computed, not measured: In2SnBi after structural relaxation at the PBE level of DFT.

Summary:
* symmetry: R-3m
* density of states at the Fermi level: 1.61 states/eV/cell

The structure in POSCAR format:
```
In2SnBi
1.0
-1.9380 -2.0104 -1.9320
1.1802 -3.0112 -1.0345
-4.6759 -6.7442 8.7241
In Bi Sn
2 1 1
Direct
0.0863 0.0863 0.7411
0.9137 0.9137 0.2589
0.5000 0.5000 0.5000
0.0000 0.0000 0.0000
```

=====

B:
Computed, not measured: In2SnBi after structural relaxation at the PBE level of DFT.

Summary:
* symmetry: I-42d
* density of states at the Fermi level: 5.44 states/eV/cell

The structure in POSCAR format:
```
In2SnBi
1.0
-3.5882 5.7853 0.1774
-3.8851 -2.5621 4.9718
0.4244 4.0542 7.0848
In Bi Sn
4 2 2
Direct
0.6136 0.1250 0.2500
0.1364 0.6250 0.2500
0.3750 0.3864 0.7500
0.8750 0.8636 0.7500
0.0000 0.0000 0.0000
0.7500 0.2500 0.5000
0.5000 0.5000 0.0000
0.2500 0.7500 0.5000
```

=====

C:
Computed, not measured: In2SnBi after structural relaxation at the PBE level of DFT.

Summary:
* symmetry: P4/mmm
* density of states at the Fermi level: 2.39 states/eV/cell

The structure in POSCAR format:
```
In2SnBi
1.0
3.7052 0.0000 0.0000
0.0000 3.7052 0.0000
0.0000 0.0000 8.3269
In Bi Sn
2 1 1
Direct
0.0000 0.0000 0.7584
0.0000 0.0000 0.2416
0.5000 0.5000 0.5000
0.5000 0.5000 0.0000
```

=====

C takes first place; second place is 15 meV per atom up.

=====

A:
Computed, not measured: InSnBi after structural relaxation at the PBE level of DFT.

Summary:
* symmetry: Pnma
* density of states at the Fermi level: 5.24 states/eV/cell

The structure in POSCAR format:
```
InSnBi
1.0
-0.2447 -3.2244 1.0348
3.5452 -3.5852 -10.3330
8.7222 0.2685 2.8994
In Sn Bi
4 4 4
Direct
0.2500 0.3588 0.5530
0.7500 0.6412 0.4470
0.2500 0.1412 0.0530
0.7500 0.8588 0.9470
0.2500 0.6410 0.1238
0.7500 0.3590 0.8762
0.2500 0.8590 0.6238
0.7500 0.1410 0.3762
0.2500 0.5979 0.7822
0.7500 0.4021 0.2178
0.2500 0.9021 0.2822
0.7500 0.0979 0.7178
```

=====

B:
Computed, not measured: InSnBi after structural relaxation at the PBE level of DFT.

Summary:
* symmetry: Cm
* density of states at the Fermi level: 1.82 states/eV/cell

The structure in POSCAR format:
```
InSnBi
1.0
6.3721 -1.2245 0.7880
-4.2074 4.9398 -0.7880
-2.1976 -1.2078 3.5670
In Sn Bi
1 1 1
Direct
0.8997 0.2436 0.1433
0.3425 0.0272 0.3697
0.4730 0.4535 0.9264
```

=====

A takes first place; second place is 32 meV per atom up.

=====

A:
Computed, not measured: TlInSnBi after structural relaxation at the PBE level of DFT.

Summary:
* symmetry: P4mm
* density of states at the Fermi level: 2.02 states/eV/cell

The structure in POSCAR format:
```
TlInSnBi
1.0
-2.5095 0.7736 2.2430
2.2426 -0.2931 2.6100
2.2446 9.7111 -0.8381
Tl In Sn Bi
1 1 1 1
Direct
0.0000 0.0000 0.0647
0.5000 0.5000 0.8105
0.0000 0.0000 0.5803
0.5000 0.5000 0.3293
```

=====

B:
Computed, not measured: TlInSnBi after structural relaxation at the PBE level of DFT.

Summary:
* symmetry: F-43m
* density of states at the Fermi level: 2.69 states/eV/cell

The structure in POSCAR format:
```
TlInSnBi
1.0
5.5470 0.0000 0.0000
2.7735 4.8038 0.0000
2.7735 1.6013 4.5291
Tl In Bi Sn
1 1 1 1
Direct
0.5000 0.5000 0.5000
0.7500 0.7500 0.7500
0.0000 0.0000 0.0000
0.2500 0.2500 0.2500
```

=====

A takes first place; second place is 16 meV per atom up.

=====

A:
Computed, not measured: SrIn2Bi2 after structural relaxation at the PBE level of DFT.

Summary:
* symmetry: I4/mmm
* density of states at the Fermi level: 1.52 states/eV/cell

The structure in POSCAR format:
```
SrIn2Bi2
1.0
4.9989 0.0000 0.0000
0.0000 4.9989 0.0000
2.4995 2.4995 6.9049
Sr Bi In
1 2 2
Direct
0.0000 0.0000 0.0000
0.7500 0.2500 0.5000
0.2500 0.7500 0.5000
0.3964 0.3964 0.2073
0.6036 0.6036 0.7927
```

=====

B:
Computed, not measured: SrIn2Bi2 after structural relaxation at the PBE level of DFT.

Summary:
* symmetry: I4/mmm
* density of states at the Fermi level: 2.91 states/eV/cell

The structure in POSCAR format:
```
SrIn2Bi2
1.0
4.6734 0.0000 0.0000
0.0000 4.6734 0.0000
2.3367 2.3367 7.9302
Sr Bi In
1 2 2
Direct
0.0000 0.0000 0.0000
0.3995 0.3995 0.2010
0.6005 0.6005 0.7990
0.7500 0.2500 0.5000
0.2500 0.7500 0.5000
```

=====

B takes first place; second place is 83 meV per atom up.

=====

A:
Computed, not measured: SrIn2Bi2 after structural relaxation at the PBE level of DFT.

Summary:
* symmetry: P4/mbm
* density of states at the Fermi level: 5.66 states/eV/cell

The structure in POSCAR format:
```
SrIn2Bi2
1.0
8.7685 0.0000 0.0000
0.0000 8.7685 0.0000
0.0000 0.0000 4.1443
Sr Bi In
2 4 4
Direct
0.0000 0.0000 0.0000
0.5000 0.5000 0.0000
0.1715 0.6715 0.5000
0.6715 0.8285 0.5000
0.8285 0.3285 0.5000
0.3285 0.1715 0.5000
0.3770 0.8770 0.0000
0.8770 0.6230 0.0000
0.6230 0.1230 0.0000
0.1230 0.3770 0.0000
```

=====

B:
Computed, not measured: SrIn2Bi2 after structural relaxation at the PBE level of DFT.

Summary:
* symmetry: P4/mbm
* density of states at the Fermi level: 6.55 states/eV/cell

The structure in POSCAR format:
```
SrIn2Bi2
1.0
8.7829 0.0000 0.0000
0.0000 8.7829 0.0000
0.0000 0.0000 4.3212
Sr Bi In
2 4 4
Direct
0.0000 0.0000 0.0000
0.5000 0.5000 0.0000
0.3679 0.8679 0.0000
0.8679 0.6321 0.0000
0.6321 0.1321 0.0000
0.1321 0.3679 0.0000
0.1558 0.6558 0.5000
0.6558 0.8442 0.5000
0.8442 0.3442 0.5000
0.3442 0.1558 0.5000
```

=====

A takes first place; second place is 42 meV per atom up.

=====

A:
Computed, not measured: Sr2InBi2 after structural relaxation at the PBE level of DFT.

Summary:
* symmetry: P4/mbm
* density of states at the Fermi level: 4.56 states/eV/cell

The structure in POSCAR format:
```
Sr2InBi2
1.0
-4.2908 0.6770 -7.3922
-7.3394 -1.6660 4.1076
-0.6284 4.7379 0.7987
Sr Bi In
4 4 2
Direct
0.1738 0.6738 0.5000
0.6738 0.8262 0.5000
0.8262 0.3262 0.5000
0.3262 0.1738 0.5000
0.3717 0.8717 0.0000
0.8717 0.6283 0.0000
0.6283 0.1283 0.0000
0.1283 0.3717 0.0000
0.0000 0.0000 0.0000
0.5000 0.5000 0.0000
```

=====

B:
Computed, not measured: Sr2InBi2 after structural relaxation at the PBE level of DFT.

Summary:
* symmetry: I4/mmm
* density of states at the Fermi level: 2.29 states/eV/cell

The structure in POSCAR format:
```
Sr2InBi2
1.0
6.6939 0.0000 0.0000
0.0000 6.6939 0.0000
3.3469 3.3469 4.6447
Sr Bi In
2 2 1
Direct
0.7500 0.2500 0.5000
0.2500 0.7500 0.5000
0.3187 0.3187 0.3627
0.6813 0.6813 0.6373
0.0000 0.0000 0.0000
```

=====

C:
Computed, not measured: Sr2InBi2 after structural relaxation at the PBE level of DFT.

Summary:
* symmetry: P4/mbm
* density of states at the Fermi level: 2.29 states/eV/cell

The structure in POSCAR format:
```
Sr2InBi2
1.0
-9.1880 -2.9858 -1.7546
-0.2501 -4.3896 8.7797
-1.3353 3.1933 1.5585
Sr Bi In
4 4 2
Direct
0.3636 0.8636 0.0000
0.8636 0.6364 0.0000
0.6364 0.1364 0.0000
0.1364 0.3636 0.0000
0.1646 0.6646 0.5000
0.6646 0.8354 0.5000
0.8354 0.3354 0.5000
0.3354 0.1646 0.5000
0.0000 0.0000 0.0000
0.5000 0.5000 0.0000
```

=====

A takes first place; second place is 116 meV per atom up.

=====

A:
Computed, not measured: Sr2InBi2 after structural relaxation at the PBE level of DFT.

Summary:
* symmetry: C2/m
* density of states at the Fermi level: 6.63 states/eV/cell

The structure in POSCAR format:
```
Sr2InBi2
1.0
6.7732 0.0000 0.0000
3.3866 7.1444 -0.2721
3.3866 2.0094 8.2115
Sr In Bi
4 2 4
Direct
0.6653 0.2169 0.4524
0.3347 0.7831 0.5476
0.1072 0.6486 0.1370
0.8928 0.3514 0.8630
0.3717 0.0898 0.1668
0.6283 0.9102 0.8332
0.1312 0.2824 0.4552
0.8688 0.7176 0.5448
0.4006 0.3593 0.8395
0.5994 0.6407 0.1605
```

=====

B:
Computed, not measured: Sr2InBi2 after structural relaxation at the PBE level of DFT.

Summary:
* symmetry: Cmc2_1
* density of states at the Fermi level: 2.12 states/eV/cell

The structure in POSCAR format:
```
Sr2InBi2
1.0
-1.3948 4.9615 -1.8803
-6.5537 -0.4255 3.7387
4.5029 1.2794 8.0390
Sr In Bi
4 2 4
Direct
0.9898 0.7231 0.9796
0.7934 0.4333 0.5868
0.2066 0.9333 0.4132
0.0102 0.2231 0.0204
0.4001 0.0460 0.8003
0.5999 0.5460 0.1997
0.4263 0.4606 0.8526
0.8320 0.9714 0.6639
0.1680 0.4714 0.3361
0.5737 0.9606 0.1474
```

=====

B takes first place; second place is 146 meV per atom up.

=====

A:
Computed, not measured: Sr2InBi3 after structural relaxation at the PBE level of DFT.

Summary:
* symmetry: Pnma
* density of states at the Fermi level: 8.32 states/eV/cell

The structure in POSCAR format:
```
Sr2InBi3
1.0
4.8185 0.0000 0.0000
0.0000 8.1414 0.0000
0.0000 0.0000 21.4687
Sr In Bi
8 4 12
Direct
0.2500 0.6865 0.5702
0.7500 0.8135 0.0702
0.2500 0.1865 0.9298
0.7500 0.3135 0.4298
0.2500 0.6596 0.7839
0.7500 0.8404 0.2839
0.2500 0.1596 0.7161
0.7500 0.3404 0.2161
0.2500 0.9860 0.4414
0.7500 0.5140 0.9414
0.2500 0.4860 0.0586
0.7500 0.0140 0.5586
0.2500 0.7497 0.9430
0.7500 0.7503 0.4430
0.2500 0.2497 0.5570
0.7500 0.2503 0.0570
0.2500 0.0382 0.1512
0.7500 0.4618 0.6512
0.2500 0.5382 0.3488
0.7500 0.9618 0.8488
0.2500 0.6520 0.1868
0.7500 0.8480 0.6868
0.2500 0.1520 0.3132
0.7500 0.3480 0.8132
```

=====

B:
Computed, not measured: Sr2InBi3 after structural relaxation at the PBE level of DFT.

Summary:
* symmetry: Immm
* density of states at the Fermi level: 3.52 states/eV/cell

The structure in POSCAR format:
```
Sr2InBi3
1.0
3.8077 0.0000 0.0000
0.0000 6.7755 0.0000
-1.9038 -3.3878 8.3977
Sr In Bi
2 1 3
Direct
0.6697 0.1697 0.3394
0.3303 0.8303 0.6606
0.0000 0.5000 0.0000
0.3462 0.3462 0.6924
0.0000 0.0000 0.0000
0.6538 0.6538 0.3076
```

=====

A takes first place; second place is 178 meV per atom up.

=====

A:
Computed, not measured: SrIn3Bi3 after structural relaxation at the PBE level of DFT.

Summary:
* symmetry: P2_1/m
* density of states at the Fermi level: 5.29 states/eV/cell

The structure in POSCAR format:
```
SrIn3Bi3
1.0
-2.4001 5.3289 -0.2681
-7.5764 -3.1776 4.6688
7.3831 3.5654 4.7726
Sr In Bi
2 6 6
Direct
0.2500 0.6498 0.2713
0.7500 0.3502 0.7287
0.2500 0.0027 0.1195
0.2500 0.8119 0.7086
0.2500 0.2280 0.9583
0.7500 0.9973 0.8805
0.7500 0.1881 0.2914
0.7500 0.7720 0.0417
0.2500 0.6070 0.8828
0.2500 0.0770 0.5778
0.2500 0.3532 0.4827
0.7500 0.3930 0.1172
0.7500 0.9230 0.4222
0.7500 0.6468 0.5173
```

=====

B:
Computed, not measured: SrIn3Bi3 after structural relaxation at the PBE level of DFT.

Summary:
* symmetry: Pm-3n
* density of states at the Fermi level: 5.73 states/eV/cell

The structure in POSCAR format:
```
SrIn3Bi3
1.0
8.4107 0.0000 0.0000
0.0000 8.4107 0.0000
0.0000 0.0000 8.4107
Sr Bi In
2 6 6
Direct
0.5000 0.5000 0.5000
0.0000 0.0000 0.0000
0.0000 0.2500 0.5000
0.0000 0.7500 0.5000
0.5000 0.0000 0.7500
0.7500 0.5000 0.0000
0.5000 0.0000 0.2500
0.2500 0.5000 0.0000
0.2500 0.0000 0.5000
0.0000 0.5000 0.2500
0.5000 0.7500 0.0000
0.7500 0.0000 0.5000
0.0000 0.5000 0.7500
0.5000 0.2500 0.0000
```

=====

A takes first place; second place is 270 meV per atom up.

=====

A:
Computed, not measured: Sr3InBi3 after structural relaxation at the PBE level of DFT.

Summary:
* symmetry: Cmce
* density of states at the Fermi level: 1.16 states/eV/cell

The structure in POSCAR format:
```
Sr3InBi3
1.0
-0.2587 4.2262 5.8757
7.8691 -7.9480 1.5998
9.6779 8.4450 -5.6480
Sr In Bi
12 4 12
Direct
0.6936 0.0000 0.8609
0.8064 0.0000 0.3609
0.1936 0.0000 0.6391
0.3064 0.0000 0.1391
0.0239 0.6452 0.3744
0.4761 0.3548 0.8744
0.8787 0.3548 0.1256
0.6213 0.6452 0.6256
0.9761 0.3548 0.6256
0.5239 0.6452 0.1256
0.1213 0.6452 0.8744
0.3787 0.3548 0.3744
0.4113 0.8226 0.5000
0.0887 0.1774 0.0000
0.5887 0.1774 0.5000
0.9113 0.8226 0.0000
0.2217 0.0000 0.8815
0.2783 0.0000 0.3815
0.7217 0.0000 0.6185
0.7783 0.0000 0.1185
0.5673 0.6735 0.3694
0.9327 0.3265 0.8694
0.3938 0.3265 0.1306
0.1062 0.6735 0.6306
0.4327 0.3265 0.6306
0.0673 0.6735 0.1306
0.6062 0.6735 0.8694
0.8938 0.3265 0.3694
```

=====

B:
Computed, not measured: Sr3InBi3 after structural relaxation at the PBE level of DFT.

Summary:
* symmetry: P6_3/m
* density of states at the Fermi level: 0.42 states/eV/cell

The structure in POSCAR format:
```
Sr3InBi3
1.0
-4.8955 -4.8382 -0.6677
2.1486 -3.4387 9.1641
-6.9145 7.1581 -1.1719
Sr In Bi
6 2 6
Direct
0.7500 0.6896 0.6355
0.7500 0.3645 0.0541
0.7500 0.9459 0.3104
0.2500 0.3104 0.3645
0.2500 0.6355 0.9459
0.2500 0.0541 0.6896
0.2500 0.6667 0.3333
0.7500 0.3333 0.6667
0.2500 0.6960 0.6369
0.2500 0.3631 0.0592
0.2500 0.9408 0.3040
0.7500 0.3040 0.3631
0.7500 0.6369 0.9408
0.7500 0.0592 0.6960
```

=====

A takes first place; second place is 59 meV per atom up.